1.
Entry from Alexandria: Si2BiMoW after structural relaxation (GGA-PBE).

Cell lengths 4.7469, 5.0029, 4.7469 Å; angles 90.00, 90.00, 90.00 degrees
With the nearest neighbours (Å) after each atom.
Atoms (fractional coordinates):
Mo: 0.0000 0.5000 0.0000  2 W 2.50
Si: 0.0000 0.0000 0.5000  2 W 2.37
Si: 0.5000 0.0000 0.0000  2 W 2.37
Bi: 0.5000 0.5000 0.5000  4 Mo 3.36, 8 Si 3.45
W: 0.0000 0.0000 0.0000  4 Si 2.37, 2 Mo 2.50

SG: No. 123
E_form (uncorrected) (meV per atom): 1000

***

2.
Entry from Alexandria: BaH16O10 after structural relaxation (GGA-PBE).

Cell lengths 6.4879, 6.4997, 11.4169 Å; angles 89.92, 90.00, 90.00 degrees
With the nearest neighbours (Å) after each atom.
Atoms (fractional coordinates):
Ba: 0.0022 0.0004 0.2513  8 O 2.83-2.84
Ba: 0.9978 0.0004 0.7513  8 O 2.83-2.84
H: 0.9633 0.5391 0.3746  1 O 1.00
H: 0.7238 0.5942 0.3543  1 O 1.02
H: 0.2799 0.4003 0.3570  1 O 1.02
H: 0.1504 0.3316 0.4708  1 O 1.00
H: 0.4031 0.7179 0.3573  1 O 1.02
H: 0.3323 0.8489 0.4702  1 O 1.00
H: 0.5403 0.0355 0.3748  1 O 1.00
H: 0.5965 0.2744 0.3540  1 O 1.02
H: 0.2762 0.5942 0.8543  1 O 1.02
H: 0.0367 0.5391 0.8746  1 O 1.00
H: 0.7201 0.4003 0.8570  1 O 1.02
H: 0.8496 0.3316 0.9708  1 O 1.00
H: 0.5969 0.7179 0.8573  1 O 1.02
H: 0.6677 0.8489 0.9702  1 O 1.00
H: 0.4035 0.2744 0.8540  1 O 1.02
H: 0.4597 0.0355 0.8748  1 O 1.00
H: 0.0365 0.4616 0.6278  1 O 1.00
H: 0.2760 0.4066 0.6482  1 O 1.02
H: 0.7199 0.6006 0.6454  1 O 1.02
H: 0.8494 0.6694 0.5315  1 O 1.00
H: 0.5969 0.2833 0.6453  1 O 1.02
H: 0.6677 0.1522 0.5325  1 O 1.00
H: 0.4599 0.9655 0.6279  1 O 1.00
H: 0.4036 0.7266 0.6488  1 O 1.02
H: 0.9635 0.4616 0.1278  1 O 1.00
H: 0.7240 0.4066 0.1482  1 O 1.02
H: 0.2801 0.6006 0.1454  1 O 1.02
H: 0.1506 0.6694 0.0315  1 O 1.00
H: 0.4031 0.2833 0.1453  1 O 1.02
H: 0.3323 0.1522 0.0325  1 O 1.00
H: 0.5401 0.9655 0.1279  1 O 1.00
H: 0.5964 0.7266 0.1488  1 O 1.02
O: 0.5021 0.4980 0.3167  1 O 1.49, 4 H 1.63-1.64
O: 0.4979 0.4980 0.8167  1 O 1.49, 4 H 1.63-1.64
O: 0.4976 0.5028 0.6858  1 O 1.49, 4 H 1.63-1.64
O: 0.5024 0.5028 0.1858  1 O 1.49, 4 H 1.63-1.64
O: 0.8614 0.6546 0.3803  2 H 1.00-1.02
O: 0.1424 0.3407 0.3833  2 H 1.00-1.02
O: 0.3429 0.8556 0.3827  2 H 1.00-1.02
O: 0.6560 0.1372 0.3809  2 H 1.00-1.02
O: 0.1386 0.6546 0.8803  2 H 1.00-1.02
O: 0.8576 0.3407 0.8833  2 H 1.00-1.02
O: 0.6571 0.8556 0.8827  2 H 1.00-1.02
O: 0.3440 0.1372 0.8809  2 H 1.00-1.02
O: 0.1384 0.3462 0.6221  2 H 1.00-1.02
O: 0.8573 0.6602 0.6191  2 H 1.00-1.02
O: 0.6570 0.1455 0.6200  2 H 1.00-1.02
O: 0.3441 0.8638 0.6219  2 H 1.00-1.02
O: 0.8616 0.3462 0.1221  2 H 1.00-1.02
O: 0.1427 0.6602 0.1191  2 H 1.00-1.02
O: 0.3430 0.1455 0.1200  2 H 1.00-1.02
O: 0.6559 0.8638 0.1219  2 H 1.00-1.02

SG: No. 13
Calculated total energy (eV per atom): -5.056